1.
Material: SrTaMo4
Method: DFT, PBE
State: optimized geometry

Total moment, μB per cell: 0.00
DOS at the Fermi energy, states/eV per cell: 18.791
Volume, Å³ per cell: 455.1
ΔH_f (0 K), eV/atom: 0.54

a = 7.692 Å, b = 7.692 Å, c = 7.692 Å
α = 90.00°, β = 90.00°, γ = 90.00°
Space group F-43m (No. 216)
Symmetry-distinct sites (fractional):
Sr1 0.000 0.000 0.000 [4 per cell]
Ta1 0.250 0.250 0.750 [4 per cell]
Mo1 0.125 0.125 0.375 [16 per cell]

***

2.
Material: MnTl2CuI6
Method: DFT, PBE
State: optimized geometry

Total moment, μB per cell: 7.89
Volume, Å³ per cell: 759.7
Formation energy from raw total energies, eV per atom: -0.39

a = 8.267 Å, b = 8.336 Å, c = 13.166 Å
α = 90.00°, β = 123.15°, γ = 90.00°
Space group P2_1/c (No. 14)
Symmetry-distinct sites (fractional):
Mn1 0.000 0.000 0.000 [2 per cell]
Tl1 0.222 0.081 0.737 [4 per cell]
Cu1 0.500 0.000 0.500 [2 per cell]
I1 0.143 0.237 0.457 [4 per cell]
I2 0.212 0.687 0.450 [4 per cell]
I3 0.370 0.013 0.279 [4 per cell]

***

3.
Material: Tb3ZnN
Method: DFT, PBE
State: optimized geometry

Total moment, μB per cell: 0.00
DOS at the Fermi energy, states/eV per cell: 4.771
Volume, Å³ per cell: 434.8
Formation energy from raw total energies, eV per atom: -0.82

a = 6.817 Å, b = 9.541 Å, c = 6.685 Å
α = 90.00°, β = 90.00°, γ = 90.00°
Space group Pnma (No. 62)
Symmetry-distinct sites (fractional):
Tb1 0.012 0.250 0.083 [4 per cell]
Tb2 0.228 0.041 0.726 [8 per cell]
Zn1 0.025 0.750 0.486 [4 per cell]
N1 0.000 0.000 0.000 [4 per cell]

***

4.
Material: TcPNCl2
Method: DFT, PBE
State: optimized geometry

Total moment, μB per cell: 0.00
DOS at the Fermi energy, states/eV per cell: 4.513
Excess energy over the best structure of this formula in the dataset, eV per atom: 0.450
Volume, Å³ per cell: 74.3
Formation energy from raw total energies, eV per atom: 1.56

a = 4.495 Å, b = 4.495 Å, c = 3.678 Å
α = 90.00°, β = 90.00°, γ = 90.00°
Space group P4/mmm (No. 123)
Symmetry-distinct sites (fractional):
Tc1 0.000 0.000 0.000 [1 per cell]
P1 0.500 0.500 0.000 [1 per cell]
N1 0.500 0.500 0.500 [1 per cell]
Cl1 0.000 0.500 0.500 [2 per cell]

***

total moment of number 1 (SrTaMo4)? 0.00 μB per cell

***

What did the first record say?
Material: SrTaMo4
Method: DFT, PBE
State: optimized geometry

Total moment, μB per cell: 0.00
DOS at the Fermi energy, states/eV per cell: 18.791
Volume, Å³ per cell: 455.1
ΔH_f (0 K), eV/atom: 0.54

a = 7.692 Å, b = 7.692 Å, c = 7.692 Å
α = 90.00°, β = 90.00°, γ = 90.00°
Space group F-43m (No. 216)
Symmetry-distinct sites (fractional):
Sr1 0.000 0.000 0.000 [4 per cell]
Ta1 0.250 0.250 0.750 [4 per cell]
Mo1 0.125 0.125 0.375 [16 per cell]